1.
ZnIn2I8: relaxed, PBE.

The structure in POSCAR format:
```
ZnIn2I8
1.0
-6.0390 -2.2387 5.4447
3.2783 -5.9912 -5.3591
6.6578 0.0034 7.3859
In I Zn
2 8 1
Direct
0.2206 0.4411 0.3108
0.7794 0.5589 0.6892
0.6080 0.2161 0.7190
0.8777 0.2219 0.1403
0.8144 0.6287 0.4346
0.3920 0.7839 0.2810
0.1223 0.7781 0.8597
0.6558 0.7781 0.8597
0.3442 0.2219 0.1403
0.1856 0.3713 0.5654
0.0000 0.0000 0.0000
```

## Properties
Energy   -24.10 eV/cell
Uncorrected formation energy   -0.450 eV/atom
Fermi-level density of states   0.000 states/eV per atom
Symmetry   No. 12

=====

2.
ZnInI: relaxed, PBE.

The structure in POSCAR format:
```
ZnInI
1.0
-3.0679 -2.7481 -1.2781
0.5981 0.8625 3.9850
-7.7257 8.9904 -0.7863
I In Zn
2 2 2
Direct
0.1167 0.2335 0.1724
0.1167 0.2335 0.8276
0.7755 0.5511 0.6414
0.7755 0.5511 0.3586
0.4571 0.9142 0.0000
0.4250 0.8500 0.5000
```

## Properties
Energy   -11.05 eV/cell
Uncorrected formation energy   0.012 eV/atom
Fermi-level density of states   0.226 states/eV per atom
Symmetry   No. 38

=====

3.
ZrInI3: relaxed, PBE.

The structure in POSCAR format:
```
ZrInI3
1.0
-1.0465 1.0014 5.7883
-5.7446 -1.4029 -0.7959
1.2274 -5.7124 1.2101
I Zr In
3 1 1
Direct
0.0000 0.0000 0.5000
0.0000 0.5000 0.0000
0.5000 0.0000 0.0000
0.5000 0.5000 0.5000
0.0000 0.0000 0.0000
```

## Properties
Energy   -13.65 eV/cell
Uncorrected formation energy   0.458 eV/atom
Fermi-level density of states   1.265 states/eV per atom
Symmetry   No. 221

=====

4.
ZrInI: relaxed, PBE.

The structure in POSCAR format:
```
ZrInI
1.0
-3.1796 -1.6208 -0.5913
1.7195 -2.9048 -1.2843
1.9083 -4.3476 12.3886
In I Zr
2 2 2
Direct
0.5765 0.5000 0.6797
0.1422 0.0000 0.8150
0.7882 0.0000 0.1179
0.4433 0.5000 0.4042
0.0071 0.0000 0.5361
0.7067 0.5000 0.9482
```

## Properties
Energy   -27.58 eV/cell
Uncorrected formation energy   -0.317 eV/atom
Fermi-level density of states   0.581 states/eV per atom
Symmetry   No. 6

=====

5.
ZrInI3: relaxed, PBE.

The structure in POSCAR format:
```
ZrInI3
1.0
5.7944 0.0000 0.0000
0.0000 5.7944 0.0000
0.0000 0.0000 5.7944
I Zr In
3 1 1
Direct
0.0000 0.0000 0.5000
0.0000 0.5000 0.0000
0.5000 0.0000 0.0000
0.0000 0.0000 0.0000
0.5000 0.5000 0.5000
```

## Properties
Energy   -17.71 eV/cell
Uncorrected formation energy   -0.354 eV/atom
Fermi-level density of states   0.850 states/eV per atom
Symmetry   No. 221

=====

6.
ZrIn2I: relaxed, PBE.

The structure in POSCAR format:
```
ZrIn2I
1.0
9.1370 0.0000 0.0000
0.0000 9.1370 0.0000
4.5685 4.5685 2.9178
Zr In I
2 4 2
Direct
0.5000 0.5000 0.0000
0.2500 0.7500 0.5000
0.8750 0.8208 0.7500
0.1792 0.6250 0.2500
0.3750 0.4292 0.7500
0.5708 0.1250 0.2500
0.7500 0.2500 0.5000
0.0000 0.0000 0.0000
```

## Properties
Energy   -29.00 eV/cell
Uncorrected formation energy   0.269 eV/atom
Fermi-level density of states   0.937 states/eV per atom
Symmetry   No. 122

=====

- Which value of energy does entry 3 give?
  -13.65 eV/cell

=====

- Among the records above, which one has the lowest Fermi-level density of states?
  ZnIn2I8

=====

- Which of these has the highest energy?
  ZnInI